Be4Pt | PBE | relaxed

Values from the calculation:
Formation energy from the elements: -0.37 eV per atom
Total energy: -4.56 eV/atom

a = 4.192 Å, b = 4.192 Å, c = 4.192 Å
α = 98.59°, β = 98.59°, γ = 134.54°
Atoms (fractional coordinates):
Be  0.809  0.597  0.406
Be  0.403  0.809  0.212
Be  0.597  0.191  0.788
Be  0.191  0.403  0.594
Pt  0.000  0.000  0.000